# Ba2Tl2Au

An optimized crystal structure of Ba2Tl2Au (PBE, the Alexandria database).

Offset from the most stable computed form ... 0 meV per atom
Crystal system ... monoclinic
Formation enthalpy at 0 K ... -0.46 eV per atom
Density of states at the Fermi level ... 7.199 states/eV per cell
Electronic total energy ... -0.208 Ry/atom

a = 4.585 Å, b = 6.804 Å, c = 12.531 Å
α = 93.12°, β = 79.46°, γ = 70.31°
Positions (direct):
Au1 0.369 0.948 0.314
Ba1 0.658 0.349 0.336
Tl1 0.648 0.811 0.892
Au2 0.631 0.052 0.686
Tl2 0.124 0.197 0.556
Tl3 0.352 0.189 0.108
Ba2 0.937 0.247 0.880
Ba3 0.342 0.651 0.664
Tl4 0.876 0.803 0.444
Ba4 0.063 0.753 0.120

# BaTl2Au

An optimized crystal structure of BaTl2Au (PBE, the Alexandria database).

Crystal system ... trigonal
Formation enthalpy at 0 K ... -0.35 eV per atom
Density of states at the Fermi level ... 1.808 states/eV per cell
Electronic total energy ... -0.209 Ry/atom

a = 6.654 Å, b = 6.654 Å, c = 6.654 Å
α = 44.30°, β = 44.30°, γ = 44.30°
Positions (direct):
Ba1 0.756 0.756 0.756
Tl1 0.972 0.972 0.972
Tl2 0.207 0.207 0.207
Au1 0.566 0.566 0.566

# Ba2TlAu

An optimized crystal structure of Ba2TlAu (PBE, the Alexandria database).

Offset from the most stable computed form ... 147 meV per atom
Crystal system ... tetragonal
Formation enthalpy at 0 K ... -0.39 eV per atom
Density of states at the Fermi level ... 4.599 states/eV per cell
Electronic total energy ... -0.203 Ry/atom

a = 4.971 Å, b = 4.971 Å, c = 6.981 Å
α = 90.00°, β = 90.00°, γ = 90.00°
Positions (direct):
Ba1 0.500 0.500 0.375
Tl1 0.000 0.000 0.375
Ba2 0.000 0.000 0.875
Au1 0.500 0.500 0.874

# BaTl3Au8

An optimized crystal structure of BaTl3Au8 (PBE, the Alexandria database).

Offset from the most stable computed form ... 12 meV per atom
Crystal system ... trigonal
Formation enthalpy at 0 K ... -0.18 eV per atom
Density of states at the Fermi level ... 5.963 states/eV per cell
Electronic total energy ... -0.229 Ry/atom

a = 5.715 Å, b = 5.715 Å, c = 10.286 Å
α = 73.87°, β = 73.87°, γ = 60.00°
Positions (direct):
Tl1 0.373 0.373 0.881
Au1 0.436 0.938 0.688
Tl2 0.004 0.004 0.988
Au2 0.440 0.938 0.182
Au3 0.938 0.938 0.688
Au4 0.189 0.189 0.433
Au5 0.689 0.689 0.934
Au6 0.938 0.440 0.182
Au7 0.440 0.440 0.182
Au8 0.938 0.436 0.688
Tl3 0.491 0.491 0.528
Ba1 0.875 0.875 0.374

# Ba4Tl3Au

An optimized crystal structure of Ba4Tl3Au (PBE, the Alexandria database).

Crystal system ... tetragonal
Formation enthalpy at 0 K ... -0.47 eV per atom
Density of states at the Fermi level ... 6.649 states/eV per cell
Electronic total energy ... -0.201 Ry/atom

a = 4.210 Å, b = 4.210 Å, c = 17.108 Å
α = 90.00°, β = 90.00°, γ = 90.00°
Positions (direct):
Ba1 0.000 0.000 0.372
Ba2 0.000 0.000 0.115
Ba3 0.000 0.000 0.628
Ba4 0.000 0.000 0.885
Tl1 0.500 0.500 0.754
Tl2 0.500 0.500 0.500
Tl3 0.500 0.500 0.246
Au1 0.500 0.500 0.000

# Ba2TlAu

An optimized crystal structure of Ba2TlAu (PBE, the Alexandria database).

Offset from the most stable computed form ... 48 meV per atom
Crystal system ... monoclinic
Formation enthalpy at 0 K ... -0.49 eV per atom
Density of states at the Fermi level ... 4.095 states/eV per cell
Electronic total energy ... -0.210 Ry/atom

a = 6.828 Å, b = 6.828 Å, c = 5.292 Å
α = 90.05°, β = 90.05°, γ = 38.28°
Positions (direct):
Au1 0.300 0.300 0.125
Ba1 0.012 0.012 0.125
Ba2 0.736 0.736 0.625
Tl1 0.452 0.452 0.625

# Ba2TlAu3

An optimized crystal structure of Ba2TlAu3 (PBE, the Alexandria database).

Offset from the most stable computed form ... 0 meV per atom
Crystal system ... orthorhombic
Formation enthalpy at 0 K ... -0.61 eV per atom
Density of states at the Fermi level ... 2.575 states/eV per cell
Electronic total energy ... -0.242 Ry/atom

a = 4.634 Å, b = 4.544 Å, c = 9.623 Å
α = 103.66°, β = 103.93°, γ = 90.00°
Positions (direct):
Au1 0.706 0.706 0.411
Au2 0.551 0.551 0.102
Au3 0.294 0.794 0.588
Ba1 0.858 0.358 0.717
Tl1 0.459 0.959 0.918
Ba2 0.132 0.132 0.263

# Ba4Tl2Au

An optimized crystal structure of Ba4Tl2Au (PBE, the Alexandria database).

Crystal system ... trigonal
Formation enthalpy at 0 K ... -0.38 eV per atom
Density of states at the Fermi level ... 7.571 states/eV per cell
Electronic total energy ... -0.193 Ry/atom

a = 5.958 Å, b = 5.958 Å, c = 10.366 Å
α = 73.30°, β = 73.30°, γ = 60.00°
Positions (direct):
Ba1 0.630 0.630 0.111
Ba2 0.370 0.370 0.889
Tl1 0.754 0.754 0.739
Ba3 0.120 0.120 0.640
Au1 0.000 0.000 0.000
Ba4 0.880 0.880 0.360
Tl2 0.246 0.246 0.261

# Ba2Tl2Au

An optimized crystal structure of Ba2Tl2Au (PBE, the Alexandria database).

Offset from the most stable computed form ... 13 meV per atom
Crystal system ... monoclinic
Formation enthalpy at 0 K ... -0.45 eV per atom
Density of states at the Fermi level ... 9.190 states/eV per cell
Electronic total energy ... -0.207 Ry/atom

a = 4.668 Å, b = 7.018 Å, c = 13.058 Å
α = 113.67°, β = 90.00°, γ = 109.42°
Positions (direct):
Ba1 0.673 0.347 0.100
Tl1 0.884 0.769 0.375
Tl2 0.031 0.062 0.850
Tl3 0.116 0.231 0.625
Ba2 0.407 0.813 0.611
Ba3 0.327 0.653 0.900
Au1 0.231 0.461 0.307
Au2 0.769 0.539 0.693
Tl4 0.969 0.938 0.150
Ba4 0.593 0.187 0.389

# Ba2TlAu

An optimized crystal structure of Ba2TlAu (PBE, the Alexandria database).

Offset from the most stable computed form ... 240 meV per atom
Crystal system ... tetragonal
Formation enthalpy at 0 K ... -0.29 eV per atom
Density of states at the Fermi level ... 5.347 states/eV per cell
Electronic total energy ... -0.196 Ry/atom

a = 9.144 Å, b = 9.144 Å, c = 7.631 Å
α = 53.19°, β = 53.19°, γ = 90.00°
Positions (direct):
Tl1 0.000 0.000 0.000
Ba1 0.591 0.125 0.250
Ba2 0.375 0.409 0.750
Ba3 0.875 0.841 0.750
Au1 0.250 0.750 0.500
Ba4 0.159 0.625 0.250
Au2 0.500 0.500 0.000
Tl2 0.750 0.250 0.500

# Ba6TlAu

An optimized crystal structure of Ba6TlAu (PBE, the Alexandria database).

Offset from the most stable computed form ... 0 meV per atom
Crystal system ... tetragonal
Formation enthalpy at 0 K ... -0.27 eV per atom
Density of states at the Fermi level ... 9.046 states/eV per cell
Electronic total energy ... -0.178 Ry/atom

a = 6.029 Å, b = 6.029 Å, c = 11.827 Å
α = 75.23°, β = 75.23°, γ = 90.00°
Positions (direct):
Ba1 0.256 0.256 0.488
Ba2 0.913 0.413 0.175
Au1 0.000 0.000 0.000
Ba3 0.413 0.913 0.175
Ba4 0.744 0.744 0.512
Ba5 0.587 0.087 0.825
Tl1 0.500 0.500 0.000
Ba6 0.087 0.587 0.825

Which of these has the highest density of states at the Fermi level? number 9

Repeat the third record exactly.
# Ba2TlAu

An optimized crystal structure of Ba2TlAu (PBE, the Alexandria database).

Offset from the most stable computed form ... 147 meV per atom
Crystal system ... tetragonal
Formation enthalpy at 0 K ... -0.39 eV per atom
Density of states at the Fermi level ... 4.599 states/eV per cell
Electronic total energy ... -0.203 Ry/atom

a = 4.971 Å, b = 4.971 Å, c = 6.981 Å
α = 90.00°, β = 90.00°, γ = 90.00°
Positions (direct):
Ba1 0.500 0.500 0.375
Tl1 0.000 0.000 0.375
Ba2 0.000 0.000 0.875
Au1 0.500 0.500 0.874